Entry 1:
Computed, not measured: a geometry-optimized Dy7BBr12 structure at the PBE level of DFT.

Geometry as POSCAR:
```
Dy7BBr12
1.0
7.2815 4.2040 3.2637
-7.2815 4.2040 3.2637
0.0000 -8.4080 3.2637
Dy B Br
7 1 12
direct
0.0000 0.0000 0.0000 Dy
0.1918 0.4672 0.3955 Dy
0.3955 0.1918 0.4672 Dy
0.4672 0.3955 0.1918 Dy
0.5328 0.6045 0.8082 Dy
0.6045 0.8082 0.5328 Dy
0.8082 0.5328 0.6045 Dy
0.5000 0.5000 0.5000 B
0.0299 0.1108 0.3439 Br
0.1108 0.3439 0.0299 Br
0.1872 0.5778 0.7266 Br
0.2734 0.8128 0.4222 Br
0.3439 0.0299 0.1108 Br
0.4222 0.2734 0.8128 Br
0.5778 0.7266 0.1872 Br
0.6561 0.9701 0.8892 Br
0.7266 0.1872 0.5778 Br
0.8128 0.4222 0.2734 Br
0.8892 0.6561 0.9701 Br
0.9701 0.8892 0.6561 Br
```

## Properties
Space-group type   R-3
ΔE_f (raw)   -152 kJ/mol of atoms

Entry 2:
Computed, not measured: a geometry-optimized Sc5Pt4Au structure at the PBE level of DFT.

Geometry as POSCAR:
```
Sc5Pt4Au
1.0
3.2817 0.0000 0.0000
0.0000 3.2817 0.0000
0.0000 0.0000 16.9911
Sc Pt Au
5 4 1
direct
0.0000 0.0000 0.0000 Sc
0.0000 0.0000 0.1976 Sc
0.0000 0.0000 0.3948 Sc
0.0000 0.0000 0.6052 Sc
0.0000 0.0000 0.8024 Sc
0.5000 0.5000 0.0991 Pt
0.5000 0.5000 0.2964 Pt
0.5000 0.5000 0.7036 Pt
0.5000 0.5000 0.9009 Pt
0.5000 0.5000 0.5000 Au
```

## Properties
Space-group type   P4/mmm
Energy relative to the elements   -1152.0 meV per atom